Density functional theory data (PBE) for crystalline KLi2InPt at its relaxed geometry.

Summary:
The calculation puts the density of states at the Fermi level at 0.480 states/eV/atom. As for the space-group type: No. 123. The value obtained for the energy relative to the elements is -0.2837 eV per atom.

Cell: 5.0756 5.0756 5.1776 Å, 90.00 90.00 90.00°
Atoms (fractional coordinates):
K 0.5000 0.5000 0.5000
Li 0.0000 0.5000 0.0000
Li 0.5000 0.0000 0.0000
Pt 0.0000 0.0000 0.0000
In 0.0000 0.0000 0.5000

Density functional theory data (PBE) for crystalline KLiIn2Pt at its relaxed geometry.

Summary:
The calculation puts the density of states at the Fermi level at 0.418 states/eV/atom. The energy above the lowest structure with this stoichiometry is 0.000 eV/atom. As for the space-group type: No. 123. The value obtained for the energy relative to the elements is -0.3141 eV per atom.

Cell: 5.2013 5.2013 5.2265 Å, 90.00 90.00 90.00°
Atoms (fractional coordinates):
K 0.5000 0.5000 0.5000
Li 0.0000 0.0000 0.5000
Pt 0.0000 0.0000 0.0000
In 0.0000 0.5000 0.0000
In 0.5000 0.0000 0.0000

Density functional theory data (PBE) for crystalline K2LiIn12Pt3 at its relaxed geometry.

Summary:
The calculation puts the density of states at the Fermi level at 0.639 states/eV/atom. As for the space-group type: No. 166. The value obtained for the energy relative to the elements is -0.1105 eV per atom.

Cell: 8.6839 8.6839 8.6839 Å, 72.27 72.27 72.27°
Atoms (fractional coordinates):
K 0.5990 0.5990 0.5990
K 0.4010 0.4010 0.4010
Li 0.0000 0.0000 0.0000
In 0.2651 0.2651 0.9073
In 0.8610 0.8610 0.3556
In 0.3556 0.8610 0.8610
In 0.9073 0.2651 0.2651
In 0.8610 0.3556 0.8610
In 0.2651 0.9073 0.2651
In 0.7349 0.7349 0.0927
In 0.1390 0.1390 0.6444
In 0.6444 0.1390 0.1390
In 0.0927 0.7349 0.7349
In 0.1390 0.6444 0.1390
In 0.7349 0.0927 0.7349
Pt 0.5000 0.0000 0.0000
Pt 0.0000 0.5000 0.0000
Pt 0.0000 0.0000 0.5000

Density functional theory data (PBE) for crystalline KLiIn2Pt at its relaxed geometry.

Summary:
The calculation puts the density of states at the Fermi level at 0.654 states/eV/atom. The energy above the lowest structure with this stoichiometry is 1.254 eV/atom. As for the space-group type: No. 123. The value obtained for the energy relative to the elements is 0.9403 eV per atom.

Cell: 5.9349 5.3938 5.9349 Å, 90.00 90.00 90.00°
Atoms (fractional coordinates):
K 0.0000 0.0000 0.0000
Li 0.5000 0.5000 0.5000
Pt 0.0000 0.5000 0.0000
In 0.0000 0.0000 0.5000
In 0.5000 0.0000 0.0000

Density functional theory data (PBE) for crystalline KRb2LiIn at its relaxed geometry.

Summary:
The calculation puts the density of states at the Fermi level at 1.017 states/eV/atom. As for the space-group type: No. 123. The value obtained for the energy relative to the elements is 0.5047 eV per atom.

Cell: 7.3669 5.9492 7.3669 Å, 90.00 90.00 90.00°
Atoms (fractional coordinates):
K 0.0000 0.0000 0.0000
Li 0.0000 0.5000 0.0000
Rb 0.0000 0.0000 0.5000
Rb 0.5000 0.0000 0.0000
In 0.5000 0.5000 0.5000

Density functional theory data (PBE) for crystalline K2RbLiIn at its relaxed geometry.

Summary:
The calculation puts the density of states at the Fermi level at 0.774 states/eV/atom. As for the space-group type: No. 123. The value obtained for the energy relative to the elements is 0.0790 eV per atom.

Cell: 6.9154 6.9154 5.6877 Å, 90.00 90.00 90.00°
Atoms (fractional coordinates):
K 0.0000 0.5000 0.0000
K 0.5000 0.0000 0.0000
Li 0.0000 0.0000 0.5000
Rb 0.5000 0.5000 0.5000
In 0.0000 0.0000 0.0000

Density functional theory data (PBE) for crystalline KLi2InRh at its relaxed geometry.

Summary:
The calculation puts the density of states at the Fermi level at 0.415 states/eV/atom. As for the space-group type: No. 123. The value obtained for the energy relative to the elements is -0.0554 eV per atom.

Cell: 5.0006 5.0006 5.1739 Å, 90.00 90.00 90.00°
Atoms (fractional coordinates):
K 0.5000 0.5000 0.5000
Li 0.0000 0.5000 0.0000
Li 0.5000 0.0000 0.0000
Rh 0.0000 0.0000 0.0000
In 0.0000 0.0000 0.5000

Density functional theory data (PBE) for crystalline K2LiIn2S4 at its relaxed geometry.

Summary:
The calculation puts the density of states at the Fermi level at 0.237 states/eV/atom. As for the space-group type: No. 12. The calculation puts the total DFT energy (no corrections) at -33.6 eV for the cell shown.

Cell: 4.6320 7.4525 7.2869 Å, 104.14 90.00 108.11°
Atoms (fractional coordinates):
K 0.8742 0.7483 0.4441
K 0.1258 0.2517 0.5559
Li 0.0000 0.0000 0.0000
In 0.3543 0.7087 0.9548
In 0.6457 0.2913 0.0452
S 0.7922 0.5845 0.8224
S 0.2078 0.4155 0.1776
S 0.4983 0.9965 0.2400
S 0.5017 0.0035 0.7600

Density functional theory data (PBE) for crystalline KLiIn2Se at its relaxed geometry.

Summary:
The calculation puts the density of states at the Fermi level at 0.546 states/eV/atom. As for the space-group type: No. 123. The calculation puts the total DFT energy (no corrections) at -8.4 eV for the cell shown.

Cell: 6.2420 5.4249 6.2420 Å, 90.00 90.00 90.00°
Atoms (fractional coordinates):
K 0.0000 0.0000 0.0000
Li 0.0000 0.5000 0.0000
Se 0.5000 0.5000 0.5000
In 0.0000 0.0000 0.5000
In 0.5000 0.0000 0.0000

Density functional theory data (PBE) for crystalline K2LiIn2Se4 at its relaxed geometry.

Summary:
The calculation puts the density of states at the Fermi level at 0.194 states/eV/atom. As for the space-group type: No. 12. The calculation puts the total DFT energy (no corrections) at -31.1 eV for the cell shown.

Cell: 4.8278 7.7146 7.6013 Å, 104.28 90.00 108.23°
Atoms (fractional coordinates):
K 0.8734 0.7467 0.4366
K 0.1266 0.2533 0.5634
Li 0.0000 0.0000 0.0000
In 0.3535 0.7070 0.9600
In 0.6465 0.2930 0.0400
Se 0.7913 0.5825 0.8168
Se 0.2087 0.4175 0.1832
Se 0.5004 0.0008 0.2462
Se 0.4996 0.9992 0.7538

Density functional theory data (PBE) for crystalline K2Li2Tl5In at its relaxed geometry.

Summary:
The calculation puts the density of states at the Fermi level at 0.470 states/eV/atom. As for the space-group type: No. 127. The value obtained for the energy relative to the elements is -0.0857 eV per atom.

Cell: 3.6441 12.7131 12.7131 Å, 90.00 90.00 90.00°
Atoms (fractional coordinates):
K 0.0000 0.6770 0.1770
K 0.0000 0.3230 0.8230
K 0.0000 0.1770 0.3230
K 0.0000 0.8230 0.6770
Li 0.0000 0.1266 0.6266
Li 0.0000 0.8734 0.3734
Li 0.0000 0.6266 0.8734
Li 0.0000 0.3734 0.1266
Tl 0.5000 0.1963 0.0590
Tl 0.5000 0.8037 0.9410
Tl 0.5000 0.0590 0.8037
Tl 0.5000 0.6963 0.4410
Tl 0.5000 0.9410 0.1963
Tl 0.5000 0.3037 0.5590
Tl 0.5000 0.5590 0.6963
Tl 0.5000 0.4410 0.3037
Tl 0.5000 0.5000 0.0000
Tl 0.5000 0.0000 0.5000
In 0.0000 0.0000 0.0000
In 0.0000 0.5000 0.5000

Density functional theory data (PBE) for crystalline KLiTlIn2 at its relaxed geometry.

Summary:
The calculation puts the density of states at the Fermi level at 0.584 states/eV/atom. As for the space-group type: No. 123. The value obtained for the energy relative to the elements is -0.0050 eV per atom.

Cell: 5.2560 5.2560 5.4162 Å, 90.00 90.00 90.00°
Atoms (fractional coordinates):
Tl 0.0000 0.0000 0.5000
Li 0.0000 0.0000 0.0000
K 0.5000 0.5000 0.5000
In 0.0000 0.5000 0.0000
In 0.5000 0.0000 0.0000